Record 1
First-principles (PBE) data for a relaxed structure of NdYAsO, as listed in OQMD via LeMat-Bulk.

Structure (POSCAR):
```
NdYAsO
1.0
4.4227 0.0000 0.0000
0.0000 4.4227 0.0000
0.0000 0.0000 9.0256
Nd Y As O
2 2 2 2
direct
0.2500 0.2500 0.1084 Nd
0.7500 0.7500 0.8916 Nd
0.2500 0.7500 0.5000 Y
0.7500 0.2500 0.5000 Y
0.2500 0.2500 0.6980 As
0.7500 0.7500 0.3020 As
0.2500 0.7500 0.0000 O
0.7500 0.2500 0.0000 O
```

## Properties
For the final energy, the calculation gives -28.5 eV per formula unit.

Record 2
First-principles (PBE) data for a relaxed structure of YErPbC, as listed in OQMD via LeMat-Bulk.

Structure (POSCAR):
```
YErPbC
1.0
3.6295 0.0000 0.0000
-1.8147 3.1432 0.0000
0.0000 0.0000 16.0230
Y Er Pb C
2 2 2 2
direct
0.3333 0.6667 0.4163 Y
0.6667 0.3333 0.5837 Y
0.3333 0.6667 0.0818 Er
0.6667 0.3333 0.9182 Er
0.3333 0.6667 0.7517 Pb
0.6667 0.3333 0.2483 Pb
0.0000 0.0000 0.0000 C
0.0000 0.0000 0.5000 C
```

## Properties
For the final energy, the calculation gives -26.0 eV per formula unit.

Record 3
First-principles (PBE) data for a relaxed structure of Dy3Al, as listed in OQMD via LeMat-Bulk.

Structure (POSCAR):
```
Dy3Al
1.0
6.8291 0.0000 0.0000
-3.4146 5.9142 0.0000
0.0000 0.0000 5.2978
Dy Al
6 2
direct
0.1748 0.3496 0.2500 Dy
0.1748 0.8252 0.2500 Dy
0.3496 0.1748 0.7500 Dy
0.6504 0.8252 0.2500 Dy
0.8252 0.1748 0.7500 Dy
0.8252 0.6504 0.7500 Dy
0.3333 0.6667 0.7500 Al
0.6667 0.3333 0.2500 Al
```

## Properties
For the final energy, the calculation gives -18.3 eV per formula unit.

Record 4
First-principles (PBE) data for a relaxed structure of Hf2TaGe2, as listed in OQMD via LeMat-Bulk.

Structure (POSCAR):
```
Hf2TaGe2
1.0
-2.0035 2.0035 5.9371
2.0035 -2.0035 5.9371
2.0035 2.0035 -5.9371
Hf Ta Ge
2 1 2
direct
0.2500 0.7500 0.5000 Hf
0.7500 0.2500 0.5000 Hf
0.0000 0.0000 0.0000 Ta
0.4022 0.4022 0.0000 Ge
0.5978 0.5978 0.0000 Ge
```

## Properties
For the final energy, the calculation gives -40.7 eV per formula unit.

Record 5
First-principles (PBE) data for a relaxed structure of PmTePO, as listed in OQMD via LeMat-Bulk.

Structure (POSCAR):
```
PmTePO
1.0
5.6183 0.0000 0.0000
0.0000 6.9162 0.0000
0.0000 0.0000 5.9382
Pm Te P O
2 2 2 2
direct
0.0000 0.1867 0.0000 Pm
0.0000 0.8133 0.5000 Pm
0.5000 0.3209 0.6396 Te
0.5000 0.6791 0.1396 Te
0.5000 0.3150 0.0681 P
0.5000 0.6850 0.5681 P
0.0000 0.0822 0.3353 O
0.0000 0.9178 0.8353 O
```

## Properties
For the final energy, the calculation gives -23.2 eV per formula unit.

Record 6
First-principles (PBE) data for a relaxed structure of NaHfAg3S4, as listed in OQMD via LeMat-Bulk.

Structure (POSCAR):
```
NaHfAg3S4
1.0
6.1322 0.0000 0.0000
0.0000 6.1322 0.0000
0.0000 0.0000 6.1322
Na Hf Ag S
1 1 3 4
direct
0.0000 0.0000 0.0000 Na
0.5000 0.5000 0.5000 Hf
0.0000 0.5000 0.5000 Ag
0.5000 0.0000 0.5000 Ag
0.5000 0.5000 0.0000 Ag
0.2715 0.2715 0.2715 S
0.2715 0.7285 0.7285 S
0.7285 0.2715 0.7285 S
0.7285 0.7285 0.2715 S
```

## Properties
For the final energy, the calculation gives -43.3 eV per formula unit.

Record 7
First-principles (PBE) data for a relaxed structure of FeH27C14S4N7, as listed in OQMD via LeMat-Bulk.

Structure (POSCAR):
```
FeH27C14S4N7
1.0
10.7527 0.0000 0.0000
-1.3663 10.7865 0.0000
-4.8088 -5.1127 10.2168
Fe H C S N
2 54 28 8 14
direct
0.1122 0.3711 0.2403 Fe
0.8878 0.6289 0.7597 Fe
0.0158 0.9841 0.2631 H
0.0254 0.2588 0.8756 H
0.0478 0.7170 0.2701 H
0.0941 0.9582 0.4075 H
0.1065 0.9219 0.1062 H
0.1189 0.6692 0.1576 H
0.1801 0.5876 0.6049 H
0.1914 0.0904 0.3897 H
0.1970 0.5217 0.7219 H
0.2083 0.1701 0.6559 H
0.2514 0.8499 0.1347 H
0.2650 0.2119 0.8244 H
0.2743 0.4637 0.6139 H
0.2822 0.0283 0.2356 H
0.2838 0.8218 0.7841 H
0.2875 0.8582 0.4426 H
0.3036 0.7528 0.8997 H
0.3540 0.8138 0.3257 H
0.3668 0.3087 0.7794 H
0.3791 0.7472 0.6354 H
0.3842 0.9928 0.4269 H
0.4182 0.2987 0.0763 H
0.4323 0.5854 0.9064 H
0.4492 0.2059 0.2303 H
0.4554 0.8690 0.9203 H
0.4722 0.6208 0.6378 H
0.4978 0.4717 0.2080 H
0.5022 0.5283 0.7920 H
0.5278 0.3792 0.3622 H
0.5446 0.1310 0.0797 H
0.5508 0.7941 0.7697 H
0.5677 0.4146 0.0936 H
0.5818 0.7013 0.9237 H
0.6158 0.0072 0.5731 H
0.6209 0.2528 0.3646 H
0.6332 0.6913 0.2206 H
0.6460 0.1862 0.6743 H
0.6964 0.2472 0.1003 H
0.7125 0.1418 0.5574 H
0.7162 0.1782 0.2159 H
0.7178 0.9717 0.7644 H
0.7257 0.5363 0.3861 H
0.7350 0.7881 0.1756 H
0.7486 0.1501 0.8653 H
0.7917 0.8299 0.3441 H
0.8030 0.4783 0.2781 H
0.8086 0.9096 0.6103 H
0.8199 0.4124 0.3951 H
0.8811 0.3308 0.8424 H
0.8935 0.0781 0.8938 H
0.9059 0.0418 0.5925 H
0.9522 0.2830 0.7299 H
0.9746 0.7412 0.1244 H
0.9842 0.0159 0.7369 H
0.0105 0.2702 0.4069 C
0.0711 0.7427 0.2009 C
0.1146 0.9869 0.3385 C
0.1470 0.5668 0.9355 C
0.1775 0.1457 0.0466 C
0.2057 0.9242 0.1801 C
0.2484 0.5508 0.6700 C
0.3015 0.2056 0.7516 C
0.3104 0.8874 0.3749 C
0.3544 0.7866 0.8495 C
0.3844 0.1107 0.7457 C
0.4039 0.5995 0.3921 C
0.4518 0.7101 0.6971 C
0.4825 0.6163 0.8543 C
0.5175 0.3837 0.1457 C
0.5482 0.2898 0.3029 C
0.5961 0.4005 0.6079 C
0.6156 0.8893 0.2543 C
0.6456 0.2134 0.1505 C
0.6896 0.1126 0.6251 C
0.6985 0.7944 0.2484 C
0.7516 0.4492 0.3300 C
0.7943 0.0758 0.8199 C
0.8225 0.8543 0.9534 C
0.8530 0.4332 0.0645 C
0.8854 0.0131 0.6615 C
0.9289 0.2573 0.7991 C
0.9895 0.7298 0.5931 C
0.0540 0.7843 0.5150 S
0.2162 0.0383 0.9447 S
0.2807 0.5412 0.0328 S
0.4352 0.3015 0.5391 S
0.5648 0.6985 0.4609 S
0.7193 0.4588 0.9672 S
0.7838 0.9617 0.0553 S
0.9460 0.2157 0.4850 S
0.0475 0.5860 0.8645 N
0.0575 0.3111 0.3493 N
0.1493 0.2248 0.1224 N
0.1753 0.8852 0.2737 N
0.2855 0.5263 0.3423 N
0.3841 0.6661 0.7681 N
0.4517 0.0344 0.7418 N
0.5483 0.9656 0.2582 N
0.6159 0.3339 0.2319 N
0.7145 0.4737 0.6577 N
0.8247 0.1148 0.7263 N
0.8507 0.7752 0.8776 N
0.9425 0.6889 0.6507 N
0.9525 0.4140 0.1355 N
```

## Properties
For the final energy, the calculation gives -307.1 eV per formula unit.

Record 8
First-principles (PBE) data for a relaxed structure of Re2BiAu, as listed in OQMD via LeMat-Bulk.

Structure (POSCAR):
```
Re2BiAu
1.0
0.0000 3.3293 3.3293
3.3293 0.0000 3.3293
3.3293 3.3293 0.0000
Re Bi Au
2 1 1
direct
0.0000 0.0000 0.0000 Re
0.2500 0.2500 0.2500 Re
0.5000 0.5000 0.5000 Bi
0.7500 0.7500 0.7500 Au
```

## Properties
For the final energy, the calculation gives -28.0 eV per formula unit.

Record 9
First-principles (PBE) data for a relaxed structure of Be2ReSb, as listed in OQMD via LeMat-Bulk.

Structure (POSCAR):
```
Be2ReSb
1.0
0.0000 3.0550 3.0550
3.0550 0.0000 3.0550
3.0550 3.0550 0.0000
Be Re Sb
2 1 1
direct
0.0000 0.0000 0.0000 Be
0.2500 0.2500 0.2500 Be
0.7500 0.7500 0.7500 Re
0.5000 0.5000 0.5000 Sb
```

## Properties
For the final energy, the calculation gives -20.9 eV per formula unit.

Record 10
First-principles (PBE) data for a relaxed structure of Ho3C4, as listed in OQMD via LeMat-Bulk.

Structure (POSCAR):
```
Ho3C4
1.0
8.0480 0.0000 0.0000
0.0000 8.0480 0.0000
0.0000 0.0000 15.9065
Ho C
30 40
direct
0.0000 0.0000 0.0000 Ho
0.0000 0.0000 0.3128 Ho
0.0000 0.0000 0.6872 Ho
0.0957 0.2973 0.5000 Ho
0.1006 0.7115 0.1466 Ho
0.1006 0.7115 0.8534 Ho
0.2027 0.4043 0.0000 Ho
0.2115 0.6006 0.3534 Ho
0.2115 0.6006 0.6466 Ho
0.2885 0.1006 0.1466 Ho
0.2885 0.1006 0.8534 Ho
0.2973 0.9043 0.5000 Ho
0.3994 0.2115 0.3534 Ho
0.3994 0.2115 0.6466 Ho
0.4043 0.7973 0.0000 Ho
0.5000 0.5000 0.1872 Ho
0.5000 0.5000 0.5000 Ho
0.5000 0.5000 0.8128 Ho
0.5957 0.2027 0.0000 Ho
0.6006 0.7885 0.3534 Ho
0.6006 0.7885 0.6466 Ho
0.7027 0.0957 0.5000 Ho
0.7115 0.8994 0.1466 Ho
0.7115 0.8994 0.8534 Ho
0.7885 0.3994 0.3534 Ho
0.7885 0.3994 0.6466 Ho
0.7973 0.5957 0.0000 Ho
0.8994 0.2885 0.1466 Ho
0.8994 0.2885 0.8534 Ho
0.9043 0.7027 0.5000 Ho
0.0000 0.0000 0.1571 C
0.0000 0.0000 0.4589 C
0.0000 0.0000 0.5411 C
0.0000 0.0000 0.8429 C
0.0982 0.3065 0.3276 C
0.0982 0.3065 0.6724 C
0.1060 0.6962 0.0000 C
0.1501 0.3499 0.2500 C
0.1501 0.3499 0.7500 C
0.1935 0.4018 0.1724 C
0.1935 0.4018 0.8276 C
0.1962 0.6060 0.5000 C
0.3038 0.1060 0.0000 C
0.3065 0.9018 0.3276 C
0.3065 0.9018 0.6724 C
0.3499 0.8499 0.2500 C
0.3499 0.8499 0.7500 C
0.3940 0.1962 0.5000 C
0.4018 0.8065 0.1724 C
0.4018 0.8065 0.8276 C
0.5000 0.5000 0.0411 C
0.5000 0.5000 0.3429 C
0.5000 0.5000 0.6571 C
0.5000 0.5000 0.9589 C
0.5982 0.1935 0.1724 C
0.5982 0.1935 0.8276 C
0.6060 0.8038 0.5000 C
0.6501 0.1501 0.2500 C
0.6501 0.1501 0.7500 C
0.6935 0.0982 0.3276 C
0.6935 0.0982 0.6724 C
0.6962 0.8940 0.0000 C
0.8038 0.3940 0.5000 C
0.8065 0.5982 0.1724 C
0.8065 0.5982 0.8276 C
0.8499 0.6501 0.2500 C
0.8499 0.6501 0.7500 C
0.8940 0.3038 0.0000 C
0.9018 0.6935 0.3276 C
0.9018 0.6935 0.6724 C
```

## Properties
For the final energy, the calculation gives -53.0 eV per formula unit.

Record 11
First-principles (PBE) data for a relaxed structure of InCuTe2PdSe, as listed in OQMD via LeMat-Bulk.

Structure (POSCAR):
```
InCuTe2PdSe
1.0
1.9673 -7.2887 0.0000
1.9673 7.2887 0.0000
0.0000 0.0000 9.6778
In Cu Te Pd Se
2 2 4 2 2
direct
0.2440 0.7560 0.7500 In
0.7560 0.2440 0.2500 In
0.0180 0.9820 0.2500 Cu
0.9820 0.0180 0.7500 Cu
0.1361 0.8639 0.0513 Te
0.1361 0.8639 0.4487 Te
0.8639 0.1361 0.5513 Te
0.8639 0.1361 0.9487 Te
0.5000 0.5000 0.0000 Pd
0.5000 0.5000 0.5000 Pd
0.4217 0.5783 0.2500 Se
0.5783 0.4217 0.7500 Se
```

## Properties
For the final energy, the calculation gives -22.4 eV per formula unit.

Record 12
First-principles (PBE) data for a relaxed structure of YNiBIr, as listed in OQMD via LeMat-Bulk.

Structure (POSCAR):
```
YNiBIr
1.0
0.0000 3.0506 3.0506
3.0506 0.0000 3.0506
3.0506 3.0506 0.0000
Y Ni B Ir
1 1 1 1
direct
0.0000 0.0000 0.0000 Y
0.2500 0.2500 0.2500 Ni
0.7500 0.7500 0.7500 B
0.5000 0.5000 0.5000 Ir
```

## Properties
For the final energy, the calculation gives -27.1 eV per formula unit.